CoAg2HgF6, optimized geometry, DFT PBE with a Hubbard U; symmetry = No. 2; uncorrected energy = -3.540 eV/atom
1.0
5.6062 0.0000 0.0000
2.2173 5.1506 0.0000
2.2148 1.4596 4.9675
Co Ag Hg F
1 2 1 6
Direct
0.0000 0.0000 0.0000 Co
0.2661 0.2652 0.2688 Ag
0.7339 0.7348 0.7312 Ag
0.5000 0.5000 0.5000 Hg
0.0928 0.8284 0.3274 F
0.1794 0.6701 0.9095 F
0.3271 0.0952 0.8249 F
0.6729 0.9048 0.1751 F
0.8206 0.3299 0.0905 F
0.9072 0.1716 0.6726 F